DFT (GGA-PBE) results for a relaxed structure of ZrSbW2.

The structure in POSCAR format:
```
ZrSbW2
1.0
3.0182 0.0059 0.0000
-1.0492 2.8299 0.0000
0.0000 0.0000 8.9752
Sb W Zr
1 2 1
Direct
0.5000 0.5000 0.7612
0.0000 0.0000 0.0137
0.5000 0.5000 0.2359
0.0000 0.0000 0.4892
```

Output
The calculation puts the calculated density at 12.57 Mg/m³. For the total energy, the calculation gives -9.380 eV per atom. Its space-group type is Cmm2, No. 35.